1.
# TlSi3S

A geometry-optimized TlSi3S structure (PBE-GGA, the Alexandria database).

abc: 5.222 5.222 5.222
angles: 90.00 90.00 90.00
Space group Pm-3m (No. 221)
Asymmetric unit:
Tl: 0.000 0.000 0.000 (multiplicity 1)
Si: 0.000 0.000 0.500 (multiplicity 3)
S: 0.500 0.500 0.500 (multiplicity 1)

## Properties
* energy relative to the elements, uncorrected: 1625 meV per atom
* DOS(E_F): 2.48 states/eV/cell
* energy above the most stable polymorph in this dataset: 847.7 meV/atom


2.
# Tl2SiS3

A geometry-optimized Tl2SiS3 structure (PBE-GGA, the Alexandria database).

abc: 12.861 7.806 6.405
angles: 90.00 99.56 90.00
Space group C2/c (No. 15)
Asymmetric unit:
Tl: 0.157 0.149 0.165 (multiplicity 8)
Si: 0.000 0.423 0.750 (multiplicity 4)
S: 0.000 0.148 0.750 (multiplicity 4)
S: 0.115 0.450 0.482 (multiplicity 8)

## Properties
* energy relative to the elements, uncorrected: -491 meV per atom
* DOS(E_F): 0.00 states/eV/cell


3.
# TlSi2S

A geometry-optimized TlSi2S structure (PBE-GGA, the Alexandria database).

abc: 5.655 5.655 12.606
angles: 90.00 90.00 90.00
Space group I-42d (No. 122)
Asymmetric unit:
Tl: 0.000 0.000 0.000 (multiplicity 4)
Si: 0.207 0.250 0.625 (multiplicity 8)
S: 0.000 0.000 0.500 (multiplicity 4)

## Properties
* energy relative to the elements, uncorrected: 509 meV per atom
* DOS(E_F): 4.62 states/eV/cell
* energy above the most stable polymorph in this dataset: 0.0 meV/atom


4.
# TlSiS4

A geometry-optimized TlSiS4 structure (PBE-GGA, the Alexandria database).

abc: 5.538 6.883 11.504
angles: 101.93 90.80 113.41
Space group P-1 (No. 2)
Asymmetric unit:
Tl: 0.197 0.150 0.351 (multiplicity 2)
Si: 0.251 0.500 0.000 (multiplicity 2)
S: 0.001 0.322 0.583 (multiplicity 2)
S: 0.125 0.754 0.990 (multiplicity 2)
S: 0.312 0.626 0.460 (multiplicity 2)
S: 0.457 0.421 0.854 (multiplicity 2)

## Properties
* energy relative to the elements, uncorrected: -372 meV per atom
* energy above the most stable polymorph in this dataset: 0.0 meV/atom